TaH2Rh2 (PBE, optimized geometry); symmetry = P4/mbm, No. 127; energy above the most stable polymorph in this dataset = 8.9 kJ/mol of atoms; magnetization = 0.00 μB/f.u.; E = -67.6 eV/cell; D(E_F) = 2.83 states/eV/cell
1.0
6.136 0.000 0.000
0.000 6.136 0.000
0.000 0.000 2.909
Rh H Ta
4 4 2
direct
0.348 0.152 0.500
0.848 0.348 0.500
0.152 0.652 0.500
0.652 0.848 0.500
0.729 0.229 0.000
0.771 0.729 0.000
0.229 0.271 0.000
0.271 0.771 0.000
0.000 0.000 0.000
0.500 0.500 0.000